# NdSm2Cu3 PBE optimized geometry
data_NdSm2Cu3
_space_group_name_H-M_alt 'P 4/m m m'
_space_group_IT_number 123
_space_group_name_Hall '-P 4 2'
_cell_length_a 3.552
_cell_length_b 3.552
_cell_length_c 10.725
_cell_angle_alpha 90.00
_cell_angle_beta 90.00
_cell_angle_gamma 90.00
loop_
_atom_site_label
_atom_site_fract_x
_atom_site_fract_y
_atom_site_fract_z
_atom_site_occupancy
Nd1 0.000 0.000 0.000 1
Sm1 0.000 0.000 0.335 1
Cu1 0.500 0.500 0.172 1
Cu2 0.500 0.500 0.500 1
# Total DFT energy (no corrections) (eV/atom): -4.585
# Crystal system: tetragonal
# Mass density (g cm⁻³): 7.80
# Distance to the lowest polymorph of the same formula (eV/atom): 0.0000